[1]
Computed, not measured: LaFeBRu2 after structural relaxation at the PBE level of DFT.

Unit cell a=4.3133 b=4.3133 c=4.0929 alpha=90.00 beta=90.00 gamma=90.00
Fractional coordinates of all 5 atoms:
La: 0.5000 0.5000 0.5000
Fe: 0.0000 0.0000 0.5000
Ru: 0.0000 0.5000 0.0000
Ru: 0.5000 0.0000 0.0000
B: 0.0000 0.0000 0.0000

## Properties
- calculated formation energy (meV per atom) = -90
- SG = P4/mmm
- total magnetization (Bohr magnetons per cell) = 2.2

---

[2]
Computed, not measured: KNi2C after structural relaxation at the PBE level of DFT.

Unit cell a=3.6238 b=3.6238 c=11.1568 alpha=90.00 beta=90.00 gamma=90.00
Fractional coordinates of all 8 atoms:
K: 0.0000 0.0000 0.7127
C: 0.0000 0.0000 0.9818
C: 0.5000 0.5000 0.4818
Ni: 0.0000 0.5000 0.9681
Ni: 0.0000 0.5000 0.4681
Ni: 0.5000 0.0000 0.9681
K: 0.5000 0.5000 0.2127
Ni: 0.5000 0.0000 0.4681

## Properties
- calculated formation energy (meV per atom) = 225
- SG = I4mm
- total magnetization (Bohr magnetons per cell) = 0.0

---

[3]
Computed, not measured: Cs2CeTi2O7 after structural relaxation at the PBE level of DFT.

Unit cell a=3.9196 b=3.9196 c=12.8597 alpha=81.23 beta=81.23 gamma=90.00
Fractional coordinates of all 12 atoms:
Cs: 0.1857 0.1857 0.6289
Ti: 0.5819 0.5819 0.8362
O: 0.0662 0.5664 0.8675
Ti: 0.4181 0.4181 0.1638
Cs: 0.8143 0.8143 0.3711
O: 0.6532 0.6532 0.6937
O: 0.4336 0.9338 0.1325
O: 0.9338 0.4336 0.1325
O: 0.5664 0.0662 0.8675
Ce: 0.0000 0.0000 0.0000
O: 0.3468 0.3468 0.3063
O: 0.5000 0.5000 0.0000

## Properties
- electronic total energy (eV per formula unit) = -90.7
- SG = I4/mmm
- total magnetization (Bohr magnetons per cell) = 0.0

---

[4]
Computed, not measured: LaScNiRh2 after structural relaxation at the PBE level of DFT.

Unit cell a=4.9281 b=4.7289 c=4.9281 alpha=90.00 beta=90.00 gamma=90.00
Fractional coordinates of all 5 atoms:
Rh: 0.5000 0.0000 0.0000
Sc: 0.5000 0.5000 0.5000
Ni: 0.0000 0.5000 0.0000
Rh: 0.0000 0.0000 0.5000
La: 0.0000 0.0000 0.0000

## Properties
- calculated formation energy (meV per atom) = 660
- SG = P4/mmm
- total magnetization (Bohr magnetons per cell) = 0.0

---

[5]
Computed, not measured: Pu2PaCr2C4 after structural relaxation at the PBE level of DFT.

Unit cell a=3.2790 b=7.0589 c=5.5704 alpha=112.06 beta=90.00 gamma=103.43
Fractional coordinates of all 9 atoms:
Pu: 0.1375 0.2749 0.5129
C: 0.7723 0.5446 0.7853
C: 0.4781 0.9563 0.3530
Cr: 0.6769 0.3538 0.9835
Pa: 0.0000 0.0000 0.0000
C: 0.5219 0.0437 0.6470
C: 0.2277 0.4554 0.2147
Cr: 0.3231 0.6462 0.0165
Pu: 0.8625 0.7251 0.4871

## Properties
- calculated formation energy (meV per atom) = -69
- SG = C2/m
- total magnetization (Bohr magnetons per cell) = 8.5

---

[6]
Computed, not measured: Sm2Pt17 after structural relaxation at the PBE level of DFT.

Unit cell a=6.9844 b=6.9844 c=6.9844 alpha=83.44 beta=83.44 gamma=83.44
Fractional coordinates of all 19 atoms:
Sm: 0.6636 0.6636 0.6636
Pt: 0.1617 0.6531 0.6531
Pt: 0.6531 0.1617 0.6531
Pt: 0.0000 0.3095 0.6905
Pt: 0.0000 0.5000 0.0000
Pt: 0.3469 0.3469 0.8383
Pt: 0.6905 0.3095 0.0000
Pt: 0.8383 0.3469 0.3469
Pt: 0.8929 0.8929 0.8929
Pt: 0.3095 0.6905 0.0000
Pt: 0.6905 0.0000 0.3095
Pt: 0.0000 0.0000 0.5000
Pt: 0.3095 0.0000 0.6905
Pt: 0.0000 0.6905 0.3095
Pt: 0.3469 0.8383 0.3469
Pt: 0.6531 0.6531 0.1617
Pt: 0.5000 0.0000 0.0000
Pt: 0.1071 0.1071 0.1071
Sm: 0.3364 0.3364 0.3364

## Properties
- calculated formation energy (meV per atom) = -408
- SG = R-3m
- total magnetization (Bohr magnetons per cell) = 0.0

---

[7]
Computed, not measured: K2Y2OsO6 after structural relaxation at the PBE level of DFT.

Unit cell a=5.7785 b=5.7785 c=6.5789 alpha=97.66 beta=97.66 gamma=119.62
Fractional coordinates of all 11 atoms:
K: 0.8410 0.1590 0.0000
K: 0.1590 0.8410 0.0000
Y: 0.6631 0.3369 0.5000
O: 0.9542 0.6438 0.3292
O: 0.0458 0.3562 0.6708
O: 0.6438 0.9542 0.3292
O: 0.2537 0.2537 0.3214
O: 0.7463 0.7463 0.6786
Os: 0.0000 0.0000 0.5000
Y: 0.3369 0.6631 0.5000
O: 0.3562 0.0458 0.6708

## Properties
- electronic total energy (eV per formula unit) = -80.0
- SG = C2/m
- total magnetization (Bohr magnetons per cell) = 2.0

---

[8]
Computed, not measured: LaY2Tl3S6 after structural relaxation at the PBE level of DFT.

Unit cell a=7.1344 b=7.1344 c=7.8604 alpha=98.70 beta=98.70 gamma=119.96
Fractional coordinates of all 12 atoms:
Tl: 0.5000 0.5000 0.5000
S: 0.4125 0.0669 0.2011
Tl: 0.8341 0.1659 0.5000
S: 0.7209 0.7209 0.1985
S: 0.0669 0.4125 0.2011
La: 0.0000 0.0000 0.0000
Tl: 0.1659 0.8341 0.5000
S: 0.9331 0.5875 0.7989
S: 0.5875 0.9331 0.7989
Y: 0.3334 0.6666 0.0000
S: 0.2791 0.2791 0.8015
Y: 0.6666 0.3334 0.0000

## Properties
- electronic total energy (eV per formula unit) = -67.7
- SG = C2/m
- total magnetization (Bohr magnetons per cell) = 0.0

---

[9]
Computed, not measured: Li4AcY after structural relaxation at the PBE level of DFT.

Unit cell a=6.0671 b=6.0671 c=6.0671 alpha=60.00 beta=60.00 gamma=60.00
Fractional coordinates of all 6 atoms:
Li: 0.6231 0.6231 0.6231
Y: 0.2500 0.2500 0.2500
Li: 0.1306 0.6231 0.6231
Li: 0.6231 0.1306 0.6231
Li: 0.6231 0.6231 0.1306
Ac: 0.0000 0.0000 0.0000

## Properties
- calculated formation energy (meV per atom) = 94
- SG = F-43m
- total magnetization (Bohr magnetons per cell) = 0.0

---

[10]
Computed, not measured: BeP2W2 after structural relaxation at the PBE level of DFT.

Unit cell a=6.5800 b=6.5800 c=3.1496 alpha=90.00 beta=90.00 gamma=90.00
Fractional coordinates of all 10 atoms:
Be: 0.5000 0.5000 0.0000
P: 0.6451 0.1451 0.0000
W: 0.1549 0.6549 0.5000
Be: 0.0000 0.0000 0.0000
P: 0.3549 0.8549 0.0000
W: 0.8451 0.3451 0.5000
P: 0.8549 0.6451 0.0000
W: 0.6549 0.8451 0.5000
P: 0.1451 0.3549 0.0000
W: 0.3451 0.1549 0.5000

## Properties
- calculated formation energy (meV per atom) = 167
- SG = P4/mbm
- energy relative to the lowest polymorph listed for this composition (eV per formula unit) = 0.00
- total magnetization (Bohr magnetons per cell) = 0.0

---

[11]
Computed, not measured: VOsC3 after structural relaxation at the PBE level of DFT.

Unit cell a=3.8143 b=3.8143 c=3.8143 alpha=90.00 beta=90.00 gamma=90.00
Fractional coordinates of all 5 atoms:
C: 0.0000 0.0000 0.5000
C: 0.0000 0.5000 0.0000
V: 0.0000 0.0000 0.0000
Os: 0.5000 0.5000 0.5000
C: 0.5000 0.0000 0.0000

## Properties
- calculated formation energy (meV per atom) = 2368
- SG = Pm-3m
- energy relative to the lowest polymorph listed for this composition (eV per formula unit) = 2.47
- total magnetization (Bohr magnetons per cell) = 0.0

---

[12]
Computed, not measured: Tb2PrTeO8 after structural relaxation at the PBE level of DFT.

Unit cell a=5.0540 b=5.0572 c=7.0933 alpha=90.00 beta=90.00 gamma=90.51
Fractional coordinates of all 12 atoms:
Pr: 0.0000 0.0000 0.5000
O: 0.6779 0.6802 0.5000
Tb: 0.5000 0.5000 0.7608
O: 0.2759 0.2742 0.0000
O: 0.3221 0.3198 0.5000
O: 0.8172 0.1843 0.2040
Tb: 0.5000 0.5000 0.2392
O: 0.1828 0.8157 0.7960
O: 0.7241 0.7258 0.0000
Te: 0.0000 0.0000 0.0000
O: 0.8172 0.1843 0.7960
O: 0.1828 0.8157 0.2040

## Properties
- electronic total energy (eV per formula unit) = -86.4
- SG = P2/m
- total magnetization (Bohr magnetons per cell) = 0.9